Record 1
Sm3YEr2P6 (PBE, optimized geometry); symmetry = No. 12; E_form = -1.59 eV/atom; DOS at the Fermi energy = 1.64 states/eV/cell; total moment = 0.00 μB per formula unit
1.0
3.505 -6.070 0.000
3.505 6.070 0.000
-2.334 0.000 6.605
Sm Y Er P
3 1 2 6
direct
0.000 0.000 0.000 Sm
0.334 0.666 0.000 Sm
0.666 0.334 0.000 Sm
0.500 0.500 0.500 Y
0.167 0.833 0.500 Er
0.833 0.167 0.500 Er
0.084 0.419 0.257 P
0.246 0.246 0.742 P
0.419 0.084 0.257 P
0.581 0.916 0.743 P
0.754 0.754 0.258 P
0.916 0.581 0.743 P

Record 2
IrW2Br (PBE, optimized geometry); raw formation energy = 0.55 eV/atom; symmetry = No. 166; energy above the lowest structure with this stoichiometry = 0.0630 eV per atom; DOS at the Fermi energy = 2.86 states/eV/cell; total moment = 0.00 μB per formula unit
1.0
1.453 0.839 8.878
-1.453 0.839 8.878
0.000 -1.678 8.878
Ir W Br
1 2 1
direct
0.000 0.000 0.000 Ir
0.251 0.251 0.251 W
0.749 0.749 0.749 W
0.500 0.500 0.500 Br

Record 3
ErTmZnOs (PBE, optimized geometry); symmetry = No. 216; E_form = -0.33 eV/atom; DOS at the Fermi energy = 2.96 states/eV/cell; total moment = 0.00 μB per formula unit
1.0
0.000 3.431 3.431
3.431 0.000 3.431
3.431 3.431 0.000
Er Tm Zn Os
1 1 1 1
direct
0.000 0.000 0.000 Er
0.500 0.500 0.500 Tm
0.250 0.250 0.250 Zn
0.750 0.750 0.750 Os

Record 4
K2YPaO5 (PBE, optimized geometry); raw formation energy = -2.64 eV/atom; symmetry = No. 123; DOS at the Fermi energy = 0.00 states/eV/cell; total moment = 0.06 μB per formula unit
1.0
4.256 0.000 0.000
0.000 4.256 0.000
0.000 0.000 8.855
K Y Pa O
2 1 1 5
direct
0.000 0.000 0.221 K
0.000 0.000 0.779 K
0.500 0.500 0.500 Y
0.500 0.500 0.000 Pa
0.000 0.000 0.500 O
0.000 0.500 0.000 O
0.500 0.000 0.000 O
0.500 0.500 0.254 O
0.500 0.500 0.746 O